No. 1
# HfAgP2H PBE relaxed
data_HfAgP2H
_symmetry_space_group_name_H-M 'P 1'
_symmetry_Int_Tables_number 1
_cell_length_a 4.444
_cell_length_b 4.444
_cell_length_c 3.598
_cell_angle_alpha 90.00
_cell_angle_beta 90.00
_cell_angle_gamma 90.00
loop_
_symmetry_equiv_pos_as_xyz
'x,y,z'
loop_
_atom_site_label
_atom_site_type_symbol
_atom_site_fract_x
_atom_site_fract_y
_atom_site_fract_z
_atom_site_occupancy
Hf1 Hf 0.000 0.000 0.000 1
Ag1 Ag 0.500 0.500 0.000 1
P1 P 0.000 0.500 0.500 1
P2 P 0.500 0.000 0.500 1
H1 H 0.000 0.000 0.500 1
# - Space group: No. 123
# - E: -26.60 eV/cell
# - Total magnetization: 0.00 μB per cell

***

No. 2
# LiGaFeN2 PBE relaxed
data_LiGaFeN2
_symmetry_space_group_name_H-M 'P 1'
_symmetry_Int_Tables_number 1
_cell_length_a 3.690
_cell_length_b 3.690
_cell_length_c 3.980
_cell_angle_alpha 90.00
_cell_angle_beta 90.00
_cell_angle_gamma 90.00
loop_
_symmetry_equiv_pos_as_xyz
'x,y,z'
loop_
_atom_site_label
_atom_site_type_symbol
_atom_site_fract_x
_atom_site_fract_y
_atom_site_fract_z
_atom_site_occupancy
Li1 Li 0.000 0.000 0.000 1
Ga1 Ga 0.500 0.500 0.500 1
Fe1 Fe 0.000 0.000 0.500 1
N1 N 0.000 0.500 0.000 1
N2 N 0.500 0.000 0.000 1
# - Space group: No. 123
# - E: -21.94 eV/cell
# - E_form (uncorrected): 1623 meV/atom
# - Total magnetization: 0.00 μB per cell

***

No. 3
# Pm4Dy8Ho3 PBE relaxed
data_Pm4Dy8Ho3
_symmetry_space_group_name_H-M 'P 1'
_symmetry_Int_Tables_number 1
_cell_length_a 9.268
_cell_length_b 9.268
_cell_length_c 6.753
_cell_angle_alpha 111.25
_cell_angle_beta 111.25
_cell_angle_gamma 87.40
loop_
_symmetry_equiv_pos_as_xyz
'x,y,z'
loop_
_atom_site_label
_atom_site_type_symbol
_atom_site_fract_x
_atom_site_fract_y
_atom_site_fract_z
_atom_site_occupancy
Pm1 Pm 0.000 0.000 0.000 1
Pm2 Pm 0.000 0.000 0.500 1
Pm3 Pm 0.000 0.500 0.000 1
Pm4 Pm 0.500 0.000 0.000 1
Dy1 Dy 0.255 0.745 0.000 1
Dy2 Dy 0.266 0.266 0.513 1
Dy3 Dy 0.270 0.270 0.038 1
Dy4 Dy 0.361 0.639 0.500 1
Dy5 Dy 0.639 0.361 0.500 1
Dy6 Dy 0.730 0.730 0.962 1
Dy7 Dy 0.734 0.734 0.487 1
Dy8 Dy 0.745 0.255 0.000 1
Ho1 Ho 0.000 0.500 0.500 1
Ho2 Ho 0.500 0.000 0.500 1
Ho3 Ho 0.500 0.500 0.000 1
# - Space group: No. 12
# - E: -63.96 eV/cell
# - Total magnetization: 0.00 μB per cell

***

No. 4
# CaScCdIn PBE relaxed
data_CaScCdIn
_symmetry_space_group_name_H-M 'P 1'
_symmetry_Int_Tables_number 1
_cell_length_a 3.634
_cell_length_b 3.634
_cell_length_c 7.610
_cell_angle_alpha 90.00
_cell_angle_beta 90.00
_cell_angle_gamma 90.00
loop_
_symmetry_equiv_pos_as_xyz
'x,y,z'
loop_
_atom_site_label
_atom_site_type_symbol
_atom_site_fract_x
_atom_site_fract_y
_atom_site_fract_z
_atom_site_occupancy
Ca1 Ca 0.000 0.000 0.000 1
Sc1 Sc 0.000 0.000 0.508 1
Cd1 Cd 0.500 0.500 0.727 1
In1 In 0.500 0.500 0.277 1
# - Space group: No. 99
# - E: -13.51 eV/cell
# - Total magnetization: 0.21 μB per cell

***

No. 5
# Na2HgAu PBE relaxed
data_Na2HgAu
_symmetry_space_group_name_H-M 'P 1'
_symmetry_Int_Tables_number 1
_cell_length_a 5.012
_cell_length_b 5.012
_cell_length_c 5.012
_cell_angle_alpha 60.00
_cell_angle_beta 60.00
_cell_angle_gamma 60.00
loop_
_symmetry_equiv_pos_as_xyz
'x,y,z'
loop_
_atom_site_label
_atom_site_type_symbol
_atom_site_fract_x
_atom_site_fract_y
_atom_site_fract_z
_atom_site_occupancy
Na1 Na 0.000 0.000 0.000 1
Na2 Na 0.250 0.250 0.250 1
Hg1 Hg 0.500 0.500 0.500 1
Au1 Au 0.750 0.750 0.750 1
# - Space group: No. 216
# - E: -7.25 eV/cell
# - Total magnetization: 0.00 μB per cell

***

No. 6
# RbPuSeS PBE relaxed
data_RbPuSeS
_symmetry_space_group_name_H-M 'P 1'
_symmetry_Int_Tables_number 1
_cell_length_a 8.302
_cell_length_b 8.302
_cell_length_c 8.302
_cell_angle_alpha 29.31
_cell_angle_beta 29.31
_cell_angle_gamma 29.31
loop_
_symmetry_equiv_pos_as_xyz
'x,y,z'
loop_
_atom_site_label
_atom_site_type_symbol
_atom_site_fract_x
_atom_site_fract_y
_atom_site_fract_z
_atom_site_occupancy
Rb1 Rb 0.000 0.000 0.000 1
Pu1 Pu 0.164 0.164 0.164 1
Se1 Se 0.565 0.565 0.565 1
S1 S 0.771 0.771 0.771 1
# - Space group: No. 160
# - E: -28.85 eV/cell
# - E_form (uncorrected): -1484 meV/atom
# - Total magnetization: 5.00 μB per cell

***

No. 7
# VPdRh2 PBE relaxed
data_VPdRh2
_symmetry_space_group_name_H-M 'P 1'
_symmetry_Int_Tables_number 1
_cell_length_a 8.955
_cell_length_b 8.955
_cell_length_c 8.955
_cell_angle_alpha 17.60
_cell_angle_beta 17.60
_cell_angle_gamma 17.60
loop_
_symmetry_equiv_pos_as_xyz
'x,y,z'
loop_
_atom_site_label
_atom_site_type_symbol
_atom_site_fract_x
_atom_site_fract_y
_atom_site_fract_z
_atom_site_occupancy
V1 V 0.000 0.000 0.000 1
Pd1 Pd 0.834 0.834 0.834 1
Rh1 Rh 0.410 0.410 0.410 1
Rh2 Rh 0.590 0.590 0.590 1
# - Space group: No. 160
# - E: -29.86 eV/cell
# - Total magnetization: 0.00 μB per cell

***

No. 8
# SrSm2Se4 PBE relaxed
data_SrSm2Se4
_symmetry_space_group_name_H-M 'P 1'
_symmetry_Int_Tables_number 1
_cell_length_a 12.667
_cell_length_b 4.241
_cell_length_c 15.282
_cell_angle_alpha 90.00
_cell_angle_beta 90.00
_cell_angle_gamma 90.00
loop_
_symmetry_equiv_pos_as_xyz
'x,y,z'
loop_
_atom_site_label
_atom_site_type_symbol
_atom_site_fract_x
_atom_site_fract_y
_atom_site_fract_z
_atom_site_occupancy
Sr1 Sr 0.243 0.250 0.162 1
Sr2 Sr 0.257 0.750 0.662 1
Sr3 Sr 0.743 0.250 0.338 1
Sr4 Sr 0.757 0.750 0.838 1
Sm1 Sm 0.073 0.250 0.391 1
Sm2 Sm 0.079 0.250 0.899 1
Sm3 Sm 0.421 0.750 0.399 1
Sm4 Sm 0.427 0.750 0.891 1
Sm5 Sm 0.573 0.250 0.109 1
Sm6 Sm 0.579 0.250 0.601 1
Sm7 Sm 0.921 0.750 0.101 1
Sm8 Sm 0.927 0.750 0.609 1
Se1 Se 0.019 0.750 0.784 1
Se2 Se 0.085 0.250 0.581 1
Se3 Se 0.136 0.750 0.027 1
Se4 Se 0.210 0.750 0.319 1
Se5 Se 0.290 0.250 0.819 1
Se6 Se 0.364 0.250 0.527 1
Se7 Se 0.415 0.750 0.081 1
Se8 Se 0.481 0.250 0.284 1
Se9 Se 0.519 0.750 0.716 1
Se10 Se 0.585 0.250 0.919 1
Se11 Se 0.636 0.750 0.473 1
Se12 Se 0.710 0.750 0.181 1
Se13 Se 0.790 0.250 0.681 1
Se14 Se 0.864 0.250 0.973 1
Se15 Se 0.915 0.750 0.419 1
Se16 Se 0.981 0.250 0.216 1
# - Space group: No. 62
# - E: -154.58 eV/cell
# - E_form (uncorrected): -1941 meV/atom
# - Total magnetization: 0.00 μB per cell